# 1
BeCuI | PBE | relaxed

Lattice parameters (Å, degrees): 11.015 4.506 6.903 90.00 110.34 90.00
Space group Cm (No. 8)
Asymmetric unit:
Be: 0.000 0.250 0.000 (multiplicity 4)
Cu: 0.138 0.000 0.905 (multiplicity 2)
Cu: 0.180 0.500 0.094 (multiplicity 2)
I: 0.314 0.000 0.735 (multiplicity 2)
I: 0.429 0.500 0.265 (multiplicity 2)

# 2
BeCuI | PBE | relaxed

Lattice parameters (Å, degrees): 3.810 3.971 9.451 83.16 86.30 70.66
Space group P-1 (No. 2)
Asymmetric unit:
Be: 0.121 0.233 0.458 (multiplicity 2)
Cu: 0.396 0.676 0.390 (multiplicity 2)
I: 0.314 0.241 0.203 (multiplicity 2)

# 3
BeCuI2 | PBE | relaxed

Lattice parameters (Å, degrees): 7.169 7.169 7.169 90.00 90.00 90.00
Space group Fm-3m (No. 225)
Asymmetric unit:
Be: 0.000 0.000 0.000 (multiplicity 4)
Cu: 0.000 0.000 0.500 (multiplicity 4)
I: 0.250 0.250 0.250 (multiplicity 8)

# 4
BeCuI3 | PBE | relaxed

Lattice parameters (Å, degrees): 5.420 5.420 5.420 90.00 90.00 90.00
Space group Pm-3m (No. 221)
Asymmetric unit:
Be: 0.000 0.000 0.000 (multiplicity 1)
Cu: 0.500 0.500 0.500 (multiplicity 1)
I: 0.000 0.500 0.500 (multiplicity 3)

# 5
BeCuI | PBE | relaxed

Lattice parameters (Å, degrees): 3.828 3.568 5.476 90.00 109.68 90.00
Space group Pm (No. 6)
Asymmetric unit:
Be: 0.000 0.000 0.000 (multiplicity 1)
Cu: 0.137 0.500 0.270 (multiplicity 1)
I: 0.354 0.000 0.698 (multiplicity 1)

# 6
BeCuI | PBE | relaxed

Lattice parameters (Å, degrees): 6.441 3.569 5.319 90.00 90.95 90.00
Space group Cm (No. 8)
Asymmetric unit:
Be: 0.000 0.000 0.000 (multiplicity 2)
Cu: 0.188 0.500 0.772 (multiplicity 2)
I: 0.462 0.000 0.320 (multiplicity 2)

# 7
Be3CuI | PBE | relaxed

Lattice parameters (Å, degrees): 4.739 4.739 4.739 90.00 90.00 90.00
Space group Pm-3m (No. 221)
Asymmetric unit:
Be: 0.000 0.000 0.500 (multiplicity 3)
Cu: 0.500 0.500 0.500 (multiplicity 1)
I: 0.000 0.000 0.000 (multiplicity 1)

# 8
BeCu2I | PBE | relaxed

Lattice parameters (Å, degrees): 6.466 6.466 6.466 90.00 90.00 90.00
Space group Fm-3m (No. 225)
Asymmetric unit:
Be: 0.000 0.000 0.000 (multiplicity 4)
Cu: 0.250 0.250 0.250 (multiplicity 8)
I: 0.000 0.000 0.500 (multiplicity 4)

| no. | formation energy (no corrections) (eV/f.u.) | VASP energy (eV/atom) |
| --- | --- | --- |
| 1 | 0.3 | -3.0194 |
| 2 | 0.1 | -3.0896 |
| 3 | 3.1 | -1.9617 |
| 4 | 3.4 | -1.8245 |
| 5 | 1.4 | -2.6662 |
| 6 | 1.5 | -2.6206 |
| 7 | 9.5 | -1.4749 |
| 8 | 3.8 | -2.4153 |